1.
The following is a DFT calculation (PBE) of a relaxed structure of LiErIr.

## Properties
For the size of the total moment, the calculation gives 0.0 μB/cell. The formation energy comes out at -405 meV/atom. For the offset from the most stable computed form, the calculation gives 50 meV/atom.

a = 5.0336 Å, b = 5.0336 Å, c = 5.0336 Å
α = 142.60°, β = 135.08°, γ = 59.83°
Positions (direct):
Li 0.0000 0.0000 0.0000
Er 0.6942 0.6942 0.0000
Ir 0.3545 0.3545 0.0000


2.
The following is a DFT calculation (PBE) of a relaxed structure of LaZr3N4.

## Properties
For the size of the total moment, the calculation gives 0.0 μB/cell. The value obtained for the formation energy (no corrections) is -1.5980 eV per atom.

a = 3.3291 Å, b = 3.3291 Å, c = 22.4110 Å
α = 90.00°, β = 90.00°, γ = 120.00°
Positions (direct):
La 0.3333 0.6667 0.2500
La 0.6667 0.3333 0.7500
Zr 0.0000 0.0000 0.0000
Zr 0.0000 0.0000 0.5000
Zr 0.3333 0.6667 0.6179
Zr 0.3333 0.6667 0.8821
Zr 0.6667 0.3333 0.1179
Zr 0.6667 0.3333 0.3821
N 0.0000 0.0000 0.1727
N 0.0000 0.0000 0.3273
N 0.0000 0.0000 0.6727
N 0.0000 0.0000 0.8273
N 0.3333 0.6667 0.0584
N 0.3333 0.6667 0.4416
N 0.6667 0.3333 0.5584
N 0.6667 0.3333 0.9416


3.
The following is a DFT calculation (PBE) of a relaxed structure of Ag2AsWBr.

## Properties
For the size of the total moment, the calculation gives 2.0 μB/cell. The value obtained for the formation energy (no corrections) is 1.6128 eV per atom.

a = 5.0304 Å, b = 5.0304 Å, c = 4.7662 Å
α = 90.00°, β = 90.00°, γ = 90.00°
Positions (direct):
Ag 0.0000 0.5000 0.0000
Ag 0.5000 0.0000 0.0000
As 0.0000 0.0000 0.5000
W 0.5000 0.5000 0.5000
Br 0.5000 0.5000 0.0000


4.
The following is a DFT calculation (PBE) of a relaxed structure of LaTeP2S.

## Properties
For the size of the total moment, the calculation gives 0.3 μB/cell. The value obtained for the formation energy (no corrections) is 0.6380 eV per atom. For the offset from the most stable computed form, the calculation gives 695 meV/atom.

a = 5.6869 Å, b = 5.6869 Å, c = 5.2052 Å
α = 90.00°, β = 90.00°, γ = 90.00°
Positions (direct):
La 0.0000 0.0000 0.0000
Te 0.5000 0.5000 0.5000
P 0.0000 0.5000 0.0000
P 0.5000 0.0000 0.0000
S 0.0000 0.0000 0.5000


5.
The following is a DFT calculation (PBE) of a relaxed structure of Ho6AsSe2S3.

## Properties
For the size of the total moment, the calculation gives 0.0 μB/cell. The value obtained for the formation energy (no corrections) is -1.8401 eV per atom.

a = 8.9040 Å, b = 8.9040 Å, c = 7.9962 Å
α = 103.15°, β = 103.15°, γ = 25.71°
Positions (direct):
Ho 0.0045 0.0045 0.2478
Ho 0.3324 0.3324 0.4323
Ho 0.3397 0.3397 0.9021
Ho 0.6603 0.6603 0.0979
Ho 0.6676 0.6676 0.5677
Ho 0.9955 0.9955 0.7522
As 0.5000 0.5000 0.5000
Se 0.1682 0.1682 0.8362
Se 0.8318 0.8318 0.1638
S 0.1678 0.1678 0.3336
S 0.5000 0.5000 0.0000
S 0.8322 0.8322 0.6664


6.
The following is a DFT calculation (PBE) of a relaxed structure of CaV3Mo.

## Properties
For the size of the total moment, the calculation gives 0.0 μB/cell. The formation energy comes out at 2238 meV/atom. For the offset from the most stable computed form, the calculation gives 1279 meV/atom.

a = 4.3272 Å, b = 4.3272 Å, c = 4.3272 Å
α = 90.00°, β = 90.00°, γ = 90.00°
Positions (direct):
Ca 0.0000 0.0000 0.0000
V 0.0000 0.0000 0.5000
V 0.0000 0.5000 0.0000
V 0.5000 0.0000 0.0000
Mo 0.5000 0.5000 0.5000


7.
The following is a DFT calculation (PBE) of a relaxed structure of BiIN2Cl.

## Properties
For the size of the total moment, the calculation gives 0.0 μB/cell. The value obtained for the formation energy (no corrections) is 2.2136 eV per atom. For the offset from the most stable computed form, the calculation gives 725 meV/atom.

a = 4.4077 Å, b = 4.4077 Å, c = 5.0389 Å
α = 90.00°, β = 90.00°, γ = 90.00°
Positions (direct):
Bi 0.0000 0.0000 0.0000
I 0.5000 0.5000 0.0000
N 0.0000 0.5000 0.5000
N 0.5000 0.0000 0.5000
Cl 0.5000 0.5000 0.5000


8.
The following is a DFT calculation (PBE) of a relaxed structure of ZnPtBr.

## Properties
For the size of the total moment, the calculation gives 0.0 μB/cell. The value obtained for the formation energy (no corrections) is 0.1170 eV per atom. For the offset from the most stable computed form, the calculation gives 116 meV/atom.

a = 4.4440 Å, b = 4.4440 Å, c = 4.4440 Å
α = 60.00°, β = 60.00°, γ = 60.00°
Positions (direct):
Zn 0.0000 0.0000 0.0000
Pt 0.2500 0.2500 0.2500
Br 0.5000 0.5000 0.5000


9.
The following is a DFT calculation (PBE) of a relaxed structure of Ho3Er3Tl.

## Properties
For the size of the total moment, the calculation gives 0.3 μB/cell. The formation energy comes out at -64 meV/atom. For the offset from the most stable computed form, the calculation gives 0 meV/atom.

a = 9.3365 Å, b = 9.3365 Å, c = 5.4930 Å
α = 90.00°, β = 90.00°, γ = 120.00°
Positions (direct):
Ho 0.1062 0.6270 0.2500
Ho 0.3730 0.4792 0.2500
Ho 0.4792 0.1062 0.7500
Ho 0.5208 0.8938 0.2500
Ho 0.6270 0.5208 0.7500
Ho 0.8938 0.3730 0.7500
Er 0.0628 0.8227 0.7500
Er 0.1773 0.2400 0.7500
Er 0.2400 0.0628 0.2500
Er 0.7600 0.9372 0.7500
Er 0.8227 0.7600 0.2500
Er 0.9372 0.1773 0.2500
Tl 0.3333 0.6667 0.7500
Tl 0.6667 0.3333 0.2500


10.
The following is a DFT calculation (PBE) of a relaxed structure of SrInCu2.

## Properties
For the size of the total moment, the calculation gives 0.0 μB/cell. The formation energy comes out at 15 meV/atom.

a = 3.3510 Å, b = 3.3510 Å, c = 7.5574 Å
α = 90.00°, β = 90.00°, γ = 90.00°
Positions (direct):
Sr 0.0000 0.0000 0.0000
In 0.5000 0.5000 0.6494
Cu 0.0000 0.0000 0.4231
Cu 0.5000 0.5000 0.2894


11.
The following is a DFT calculation (PBE) of a relaxed structure of SrCuSeBr2.

## Properties
For the size of the total moment, the calculation gives 0.0 μB/cell. The value obtained for the formation energy (no corrections) is -0.9391 eV per atom. For the offset from the most stable computed form, the calculation gives 0 meV/atom.

a = 5.0354 Å, b = 5.0354 Å, c = 5.0983 Å
α = 90.00°, β = 90.00°, γ = 90.00°
Positions (direct):
Sr 0.0000 0.0000 0.0000
Cu 0.5000 0.5000 0.5000
Se 0.5000 0.5000 0.0000
Br 0.0000 0.5000 0.5000
Br 0.5000 0.0000 0.5000


12.
The following is a DFT calculation (PBE) of a relaxed structure of TlRe2H.

## Properties
For the size of the total moment, the calculation gives 0.0 μB/cell. For the offset from the most stable computed form, the calculation gives 0 meV/atom.

a = 6.0814 Å, b = 6.0814 Å, c = 6.0814 Å
α = 131.09°, β = 131.09°, γ = 71.67°
Positions (direct):
Tl 0.3750 0.6250 0.7500
Tl 0.6250 0.3750 0.2500
Re 0.0000 0.0000 0.0000
Re 0.0000 0.0000 0.5000
Re 0.0000 0.5000 0.0000
Re 0.5000 0.0000 0.5000
H 0.1250 0.8750 0.2500
H 0.8750 0.1250 0.7500


13.
The following is a DFT calculation (PBE) of a relaxed structure of Ca2Zn2Si.

## Properties
For the size of the total moment, the calculation gives 0.0 μB/cell. The value obtained for the formation energy (no corrections) is -0.1603 eV per atom. For the offset from the most stable computed form, the calculation gives 52 meV/atom.

a = 9.6436 Å, b = 9.6436 Å, c = 9.6436 Å
α = 158.65°, β = 158.65°, γ = 30.37°
Positions (direct):
Ca 0.0976 0.0976 0.0000
Ca 0.9024 0.9024 0.0000
Zn 0.2500 0.7500 0.5000
Zn 0.7500 0.2500 0.5000
Si 0.5000 0.5000 0.0000


14.
The following is a DFT calculation (PBE) of a relaxed structure of AcDy2GeN4.

## Properties
For the size of the total moment, the calculation gives 0.0 μB/cell. The value obtained for the formation energy (no corrections) is -1.0914 eV per atom.

a = 6.1461 Å, b = 6.1461 Å, c = 11.6705 Å
α = 90.00°, β = 90.00°, γ = 145.80°
Positions (direct):
Ac 0.0961 0.9039 0.7500
Ac 0.9039 0.0961 0.2500
Dy 0.3692 0.6308 0.5436
Dy 0.3692 0.6308 0.9564
Dy 0.6308 0.3692 0.0436
Dy 0.6308 0.3692 0.4564
Ge 0.1667 0.8333 0.2500
Ge 0.8333 0.1667 0.7500
N 0.0000 0.0000 0.0000
N 0.0000 0.0000 0.5000
N 0.2672 0.7328 0.1234
N 0.2672 0.7328 0.3766
N 0.4124 0.5876 0.7500
N 0.5876 0.4124 0.2500
N 0.7328 0.2672 0.6234
N 0.7328 0.2672 0.8766


15.
The following is a DFT calculation (PBE) of a relaxed structure of Ca2Zn6Ru.

## Properties
For the size of the total moment, the calculation gives 0.0 μB/cell. The formation energy comes out at -210 meV/atom.

a = 5.7502 Å, b = 5.7502 Å, c = 5.8433 Å
α = 90.00°, β = 90.00°, γ = 120.00°
Positions (direct):
Ca 0.3333 0.6667 0.3590
Ca 0.6667 0.3333 0.6410
Zn 0.1738 0.3477 0.8274
Zn 0.1738 0.8262 0.8274
Zn 0.3477 0.1738 0.1726
Zn 0.6523 0.8262 0.8274
Zn 0.8262 0.1738 0.1726
Zn 0.8262 0.6523 0.1726
Ru 0.0000 0.0000 0.5000


16.
The following is a DFT calculation (PBE) of a relaxed structure of PaTcC.

## Properties
For the size of the total moment, the calculation gives 0.0 μB/cell. The formation energy comes out at -115 meV/atom. For the offset from the most stable computed form, the calculation gives 0 meV/atom.

a = 5.1730 Å, b = 5.1730 Å, c = 6.6942 Å
α = 118.38°, β = 118.38°, γ = 34.82°
Positions (direct):
Pa 0.0687 0.0687 0.3498
Pa 0.9313 0.9313 0.6502
Tc 0.3232 0.3232 0.9186
Tc 0.6768 0.6768 0.0814
C 0.3250 0.3250 0.2877
C 0.6750 0.6750 0.7123


17.
The following is a DFT calculation (PBE) of a relaxed structure of In2SbSe.

## Properties
For the size of the total moment, the calculation gives 0.0 μB/cell. The value obtained for the formation energy (no corrections) is 0.0218 eV per atom. For the offset from the most stable computed form, the calculation gives 266 meV/atom.

a = 6.1097 Å, b = 6.1097 Å, c = 6.1097 Å
α = 136.55°, β = 136.55°, γ = 63.13°
Positions (direct):
In 0.2500 0.7500 0.5000
In 0.7500 0.2500 0.5000
Sb 0.0000 0.0000 0.0000
Se 0.5000 0.5000 0.0000


18.
The following is a DFT calculation (PBE) of a relaxed structure of Tb5HoIn.

## Properties
For the size of the total moment, the calculation gives 0.0 μB/cell. The formation energy comes out at 99 meV/atom.

a = 7.0715 Å, b = 7.0715 Å, c = 7.0715 Å
α = 127.15°, β = 125.78°, γ = 79.13°
Positions (direct):
Tb 0.0000 0.0000 0.0000
Tb 0.4714 0.2143 0.7429
Tb 0.4714 0.7284 0.2571
Tb 0.5185 0.2510 0.2675
Tb 0.9835 0.2510 0.7325
Ho 0.1309 0.6309 0.5000
In 0.7237 0.7237 0.0000


19.
The following is a DFT calculation (PBE) of a relaxed structure of SbOsBr2.

## Properties
For the size of the total moment, the calculation gives 0.7 μB/cell. The value obtained for the formation energy (no corrections) is 1.0149 eV per atom. For the offset from the most stable computed form, the calculation gives 736 meV/atom.

a = 3.1646 Å, b = 4.7775 Å, c = 5.6763 Å
α = 90.00°, β = 90.00°, γ = 90.00°
Positions (direct):
Sb 0.0000 0.0000 0.0000
Os 0.5000 0.0000 0.5000
Br 0.0000 0.5000 0.5000
Br 0.5000 0.5000 0.0000


20.
The following is a DFT calculation (PBE) of a relaxed structure of AlSbPb3.

## Properties
For the size of the total moment, the calculation gives 0.0 μB/cell. The value obtained for the formation energy (no corrections) is 0.3813 eV per atom. For the offset from the most stable computed form, the calculation gives 0 meV/atom.

a = 5.4365 Å, b = 5.4365 Å, c = 5.4365 Å
α = 90.00°, β = 90.00°, γ = 90.00°
Positions (direct):
Al 0.0000 0.0000 0.0000
Sb 0.5000 0.5000 0.5000
Pb 0.0000 0.0000 0.5000
Pb 0.0000 0.5000 0.0000
Pb 0.5000 0.0000 0.0000